CeThZnIn after structural relaxation, computed with PBE-GGA.

Unit cell a=3.376 b=3.376 c=9.013 alpha=90.00 beta=90.00 gamma=90.00
Atoms (fractional coordinates):
Ce 0.000 0.000 0.000
Th 0.000 0.000 0.464
Zn 0.500 0.500 0.229
In 0.500 0.500 0.736

Summary:
ΔE to the lowest computed polymorph: 0.000 eV/atom
Uncorrected energy: -4.58 eV/atom
Energy relative to the elements: -240 meV per atom